Record 1
A plane-wave DFT calculation with PBE was carried out for a relaxed structure of Ho6BiTe3.

It has space group P2_1/m (No. 11), with a = 12.153 Å, b = 4.110 Å, c = 12.503 Å, α = 90.00°, β = 105.03° and γ = 90.00°. The distinct sites, in fractional coordinates, are Ho at (0.015, 0.250, 0.354), Ho at (0.077, 0.250, 0.882), Ho at (0.251, 0.750, 0.301), Ho at (0.286, 0.750, 0.768), Ho at (0.378, 0.250, 0.542), Ho at (0.460, 0.750, 0.123), Bi at (0.453, 0.250, 0.312), Te at (0.113, 0.250, 0.140), Te at (0.174, 0.750, 0.516) and Te at (0.332, 0.250, 0.960).

The uncorrected energy is -4.9443 eV/atom. Its uncorrected formation energy is -867 meV/atom.

---

Record 2
A plane-wave DFT calculation with PBE was carried out for a relaxed structure of Ho6Bi3Te.

It has space group Cmc2_1 (No. 36), with a = 11.556 Å, b = 14.921 Å, c = 7.480 Å, α = 90.00°, β = 90.00° and γ = 90.00°. The distinct sites, in fractional coordinates, are Ho at (0.000, 0.004, 0.000), Ho at (0.000, 0.248, 0.377), Ho at (0.165, 0.443, 0.402), Ho at (0.186, 0.267, 0.984), Bi at (0.000, 0.412, 0.074), Bi at (0.184, 0.096, 0.241) and Te at (0.000, 0.167, 0.746).

The uncorrected energy is -4.8303 eV/atom. Its uncorrected formation energy is -605 meV/atom.

---

Record 3
A plane-wave DFT calculation with PBE was carried out for a relaxed structure of Ho3Bi2Te.

It has space group Cmcm (No. 63), with a = 16.018 Å, b = 9.162 Å, c = 6.178 Å, α = 90.00°, β = 90.00° and γ = 90.00°. The distinct sites, in fractional coordinates, are Ho at (0.000, 0.164, 0.250), Ho at (0.166, 0.333, 0.750), Bi at (0.166, 0.330, 0.250) and Te at (0.000, 0.166, 0.750).

The uncorrected energy is -4.8526 eV/atom. Its uncorrected formation energy is -746 meV/atom.

---

Record 4
A plane-wave DFT calculation with PBE was carried out for a relaxed structure of Ho10Bi3Te3.

It has space group P-62m (No. 189), with a = 9.0707 Å, b = 9.0707 Å, c = 6.2158 Å, α = 90.00°, β = 90.00° and γ = 120.00°. The distinct sites, in fractional coordinates, are Ho at (0.0000, 0.2493, 0.0000), Ho at (0.0000, 0.7506, 0.5000), Ho at (0.3333, 0.6667, 0.2489), Bi at (0.0000, 0.3887, 0.5000) and Te at (0.0000, 0.6144, 0.0000).

The uncorrected energy is -4.9634 eV/atom. Its uncorrected formation energy is -786 meV/atom.

---

Record 5
A plane-wave DFT calculation with PBE was carried out for a relaxed structure of Ho3Bi2Te2.

It has space group C2/m (No. 12), with a = 14.846 Å, b = 4.089 Å, c = 7.757 Å, α = 90.00°, β = 100.70° and γ = 90.00°. The distinct sites, in fractional coordinates, are Ho at (0.000, 0.000, 0.000), Ho at (0.248, 0.500, 0.261), Bi at (0.108, 0.000, 0.387) and Te at (0.129, 0.500, 0.883).

The uncorrected energy is -4.8869 eV/atom. Its uncorrected formation energy is -919 meV/atom.

---

Record 6
A plane-wave DFT calculation with PBE was carried out for a relaxed structure of Ho4BiTe3.

It has space group Cmmm (No. 65), with a = 8.749 Å, b = 12.343 Å, c = 4.360 Å, α = 90.00°, β = 90.00° and γ = 90.00°. The distinct sites, in fractional coordinates, are Ho at (0.000, 0.248, 0.000), Ho at (0.248, 0.000, 0.500), Bi at (0.000, 0.500, 0.000), Te at (0.000, 0.000, 0.000) and Te at (0.250, 0.250, 0.500).

The uncorrected energy is -5.1073 eV/atom. Its uncorrected formation energy is -1155 meV/atom.

---

Record 7
A plane-wave DFT calculation with PBE was carried out for a relaxed structure of Ho3BiTe2.

It has space group Immm (No. 71), with a = 4.377 Å, b = 6.188 Å, c = 13.137 Å, α = 90.00°, β = 90.00° and γ = 90.00°. The distinct sites, in fractional coordinates, are Ho at (0.000, 0.000, 0.000), Ho at (0.000, 0.000, 0.333), Bi at (0.000, 0.500, 0.000) and Te at (0.000, 0.500, 0.334).

The uncorrected energy is -5.1108 eV/atom. Its uncorrected formation energy is -1128 meV/atom.

---

Record 8
A plane-wave DFT calculation with PBE was carried out for a relaxed structure of Ho3BiTe6.

It has space group Cmc2_1 (No. 36), with a = 11.895 Å, b = 14.994 Å, c = 7.582 Å, α = 90.00°, β = 90.00° and γ = 90.00°. The distinct sites, in fractional coordinates, are Ho at (0.000, 0.090, 0.000), Ho at (0.182, 0.400, 0.110), Bi at (0.000, 0.320, 0.628), Te at (0.000, 0.266, 0.240), Te at (0.000, 0.497, 0.879), Te at (0.167, 0.037, 0.298) and Te at (0.174, 0.228, 0.844).

The uncorrected energy is -4.6573 eV/atom. Its uncorrected formation energy is -1011 meV/atom.